Entry 1:
Here is a relaxed structure of Ba2Zn2Ag3 from the Alexandria database. Energies are from GGA-PBE.

extended XYZ file:
```
14
Lattice="2.342 -10.460 0.000 2.342 10.460 0.000 0.000 0.000 7.855" Properties=species:S:1:pos:R:3 pbc="T T T"
Ba 2.342 9.275 5.892
Ba 2.342 6.986 1.964
Ba 2.342 -6.986 5.892
Ba 2.342 -9.275 1.964
Zn 2.342 3.825 0.609
Zn 2.342 3.825 3.319
Zn 2.342 -3.825 4.536
Zn 2.342 -3.825 7.247
Ag 2.342 5.901 5.892
Ag 2.342 1.320 4.471
Ag 2.342 1.320 7.312
Ag 2.342 -1.320 0.543
Ag 2.342 -1.320 3.385
Ag 2.342 -5.901 1.964
```

Computed properties:
Total DFT energy (no corrections) (eV per atom): -2.352
E_form (meV/atom): -217
Fermi-level density of states (states/eV/atom): 0.51
Energy relative to the lowest polymorph listed for this composition (kJ/mol of atoms): 0.0

Entry 2:
Here is a relaxed structure of Ba6ZnAg2 from the Alexandria database. Energies are from GGA-PBE.

extended XYZ file:
```
9
Lattice="0.000 7.555 8.872 2.950 0.000 8.872 2.950 7.555 0.000" Properties=species:S:1:pos:R:3 pbc="T T T"
Ba 2.950 1.949 8.872
Ba 2.950 5.603 5.922
Ba 2.950 9.508 5.922
Ba 2.950 5.603 11.822
Ba 2.950 9.508 11.822
Ba 2.950 13.161 8.872
Zn 2.950 7.555 8.872
Ag 2.950 7.555 2.927
Ag 2.950 7.555 14.816
```

Computed properties:
Total DFT energy (no corrections) (eV per atom): -2.211
E_form (meV/atom): -154
Fermi-level density of states (states/eV/atom): 1.11